Record 1
This record from Alexandria via LeMat-Bulk describes crystalline Mg2POs at its relaxed geometry. The functional is GGA-PBE.

a b c (Å): 8.721 8.721 6.549
angles (deg): 48.25 48.25 90.00
Element x y z (fractional)
1 P 0.500 0.500 0.000
2 P 0.250 0.750 0.500
3 Mg 0.501 0.125 0.250
4 Mg 0.249 0.625 0.250
5 Mg 0.375 0.499 0.750
6 Mg 0.875 0.751 0.750
7 Os 0.000 0.000 0.000
8 Os 0.750 0.250 0.500

Computed properties:
Formation energy from the elements (eV/atom): 0.30
DFT total energy (eV/atom): -4.65
Symmetry: No. 122

=====

Record 2
This record from Alexandria via LeMat-Bulk describes crystalline Ba3Cl at its relaxed geometry. The functional is GGA-PBE.

a b c (Å): 4.567 7.051 7.838
angles (deg): 90.00 90.00 90.00
Element x y z (fractional)
1 Ba 0.000 0.000 0.060
2 Ba 0.500 0.000 0.571
3 Ba 0.500 0.500 0.890
4 Cl 0.000 0.500 0.146

Computed properties:
Energy above the most stable polymorph in this dataset (eV/f.u.): 0.88
DFT total energy (eV/atom): -2.54
Symmetry: No. 25

=====

Record 3
This record from Alexandria via LeMat-Bulk describes crystalline CeMg2GaPd2 at its relaxed geometry. The functional is GGA-PBE.

a b c (Å): 5.146 5.146 6.398
angles (deg): 113.71 113.71 90.00
Element x y z (fractional)
1 Ce 0.500 0.500 0.000
2 Mg 0.250 0.750 0.500
3 Mg 0.750 0.250 0.500
4 Ga 0.000 0.000 0.000
5 Pd 0.770 0.770 0.541
6 Pd 0.230 0.230 0.459

Computed properties:
Formation energy from the elements (eV/atom): -0.33
DFT total energy (eV/atom): -4.08
Symmetry: No. 139

=====

Q: What is the DFT total energy in the third record?
A: -4.08 eV/atom

=====

Q: Number 3 is which compound?
A: CeMg2GaPd2